Material: CePd2Au4
Method: DFT, GGA-PBE
State: optimized geometry

Cell lengths 5.465, 5.676, 5.676 Å; angles 76.64, 61.30, 61.30 degrees
Each line ends with the local moment (μB).
Element x y z (fractional)
Pd1 0.250 0.500 0.500  0.01
Pd2 0.750 0.500 0.500  0.01
Au1 0.699 0.000 0.603  0.01
Au2 0.699 0.603 0.000  0.01
Au3 0.301 0.000 0.397  0.01
Au4 0.301 0.397 0.000  0.01
Ce1 0.000 0.000 0.000  0.88

Results
space group	C2/m (12)
raw total energy	-32.52	eV per cell
calculated density	13.98	g cm⁻³
magnetic moment	0.159	μB/atom
energy of formation	-0.442	eV per atom